No. 1
# Pr4NdAg5

A relaxed Pr4NdAg5 crystal (PBE, Alexandria via LeMat-Bulk).

Cell: 3.747 3.747 19.215 Å, 90.00 90.00 90.00°
Fractional coordinates of all 10 atoms:
Pr  0.000  0.000  0.100
Pr  0.000  0.000  0.301
Pr  0.000  0.000  0.699
Pr  0.000  0.000  0.900
Nd  0.000  0.000  0.500
Ag  0.500  0.500  0.000
Ag  0.500  0.500  0.201
Ag  0.500  0.500  0.402
Ag  0.500  0.500  0.598
Ag  0.500  0.500  0.799

Space-group type: P4/mmm

***

No. 2
# Y2Ag2Sb

A relaxed Y2Ag2Sb crystal (PBE, Alexandria via LeMat-Bulk).

Cell: 8.919 8.919 8.919 Å, 154.87 154.87 35.84°
Fractional coordinates of all 5 atoms:
Y  0.103  0.103  0.000
Y  0.897  0.897  0.000
Ag  0.250  0.750  0.500
Ag  0.750  0.250  0.500
Sb  0.500  0.500  0.000

Space-group type: I4/mmm
E above lowest polymorph (meV/atom): 122
E_form (uncorrected) (eV per atom): -0.3644

***

No. 3
# Pr15Tm4Th

A relaxed Pr15Tm4Th crystal (PBE, Alexandria via LeMat-Bulk).

Cell: 5.188 5.188 25.848 Å, 90.00 90.00 90.00°
Fractional coordinates of all 20 atoms:
Pr  0.000  0.000  0.000
Pr  0.000  0.000  0.202
Pr  0.000  0.000  0.401
Pr  0.000  0.000  0.599
Pr  0.000  0.000  0.798
Pr  0.000  0.500  0.099
Pr  0.000  0.500  0.300
Pr  0.000  0.500  0.500
Pr  0.000  0.500  0.700
Pr  0.000  0.500  0.901
Pr  0.500  0.000  0.099
Pr  0.500  0.000  0.300
Pr  0.500  0.000  0.500
Pr  0.500  0.000  0.700
Pr  0.500  0.000  0.901
Tm  0.500  0.500  0.201
Tm  0.500  0.500  0.400
Tm  0.500  0.500  0.600
Tm  0.500  0.500  0.799
Th  0.500  0.500  0.000

Space-group type: P4/mmm

***

No. 4
# Sc6Al2Tl

A relaxed Sc6Al2Tl crystal (PBE, Alexandria via LeMat-Bulk).

Cell: 8.149 8.149 8.149 Å, 113.16 111.80 103.61°
Fractional coordinates of all 18 atoms:
Sc  0.029  0.821  0.208
Sc  0.246  0.543  0.297
Sc  0.246  0.949  0.703
Sc  0.280  0.312  0.592
Sc  0.280  0.688  0.968
Sc  0.387  0.179  0.208
Sc  0.613  0.821  0.792
Sc  0.720  0.312  0.032
Sc  0.720  0.688  0.408
Sc  0.754  0.051  0.297
Sc  0.754  0.457  0.703
Sc  0.971  0.179  0.792
Al  0.000  0.148  0.148
Al  0.000  0.852  0.852
Al  0.374  0.374  0.000
Al  0.626  0.626  0.000
Tl  0.000  0.500  0.500
Tl  0.500  0.000  0.500

Space-group type: Immm

***

Number 1: mass density 7.7 g cm⁻³, DFT total energy -40.61 eV/cell. Number 2: mass density 6.7 g cm⁻³, DFT total energy -24.58 eV/cell. Number 3: mass density 7.2 g cm⁻³, DFT total energy -96.51 eV/cell. Number 4: mass density 4.2 g cm⁻³, DFT total energy -100.40 eV/cell.